# AlCu8Au3 (GGA-PBE, optimized geometry)
# - Calculated formation energy: 4.15 eV/f.u.
# - DFT total energy: -3.52 eV per atom
# - Theoretical density: 9.4 Mg/m³
# - Symmetry: I-42m
data_AlCu8Au3
_chemical_formula_sum 'Al1 Cu8 Au3'
_space_group_name_H-M_alt 'P 1'
_space_group_IT_number 1
_space_group_name_Hall 'P 1'
_cell_length_a 6.476
_cell_length_b 6.476
_cell_length_c 6.476
_cell_angle_alpha 117.42
_cell_angle_beta 117.42
_cell_angle_gamma 94.54
loop_
_atom_site_label
_atom_site_type_symbol
_atom_site_fract_x
_atom_site_fract_y
_atom_site_fract_z
_atom_site_occupancy
Al1 Al 0.000 0.000 0.000 1
Cu1 Cu 0.093 0.093 0.732 1
Cu2 Cu 0.199 0.199 0.476 1
Cu3 Cu 0.277 0.801 0.000 1
Cu4 Cu 0.361 0.361 0.268 1
Cu5 Cu 0.639 0.907 0.000 1
Cu6 Cu 0.723 0.723 0.524 1
Cu7 Cu 0.801 0.277 0.000 1
Cu8 Cu 0.907 0.639 0.000 1
Au1 Au 0.250 0.750 0.500 1
Au2 Au 0.500 0.500 0.000 1
Au3 Au 0.750 0.250 0.500 1

---

# Mg4HIr4 (GGA-PBE, optimized geometry)
# - ΔE to the lowest computed polymorph: 76 kJ/mol of formula units
# - DFT total energy: -5.25 eV per atom
# - Theoretical density: 11.1 Mg/m³
# - Symmetry: P1
data_Mg4HIr4
_chemical_formula_sum 'Mg4 H1 Ir4'
_space_group_name_H-M_alt 'P 1'
_space_group_IT_number 1
_space_group_name_Hall 'P 1'
_cell_length_a 4.663
_cell_length_b 5.130
_cell_length_c 5.819
_cell_angle_alpha 90.06
_cell_angle_beta 90.01
_cell_angle_gamma 111.03
loop_
_atom_site_label
_atom_site_type_symbol
_atom_site_fract_x
_atom_site_fract_y
_atom_site_fract_z
_atom_site_occupancy
Mg1 Mg 0.000 0.000 0.000 1
Mg2 Mg 0.001 0.000 0.507 1
Mg3 Mg 0.934 0.470 0.752 1
Mg4 Mg 0.941 0.482 0.252 1
H1 H 0.381 0.277 0.253 1
Ir1 Ir 0.460 0.520 0.511 1
Ir2 Ir 0.460 0.520 0.994 1
Ir3 Ir 0.478 0.960 0.754 1
Ir4 Ir 0.485 0.962 0.253 1

---

# Dy4TmCd5 (GGA-PBE, optimized geometry)
# - Calculated formation energy: -3.17 eV/f.u.
# - DFT total energy: -3.06 eV per atom
# - Theoretical density: 8.8 Mg/m³
# - Symmetry: P4/mmm
data_Dy4TmCd5
_chemical_formula_sum 'Dy4 Tm1 Cd5'
_space_group_name_H-M_alt 'P 1'
_space_group_IT_number 1
_space_group_name_Hall 'P 1'
_cell_length_a 3.729
_cell_length_b 3.729
_cell_length_c 18.721
_cell_angle_alpha 90.00
_cell_angle_beta 90.00
_cell_angle_gamma 90.00
loop_
_atom_site_label
_atom_site_type_symbol
_atom_site_fract_x
_atom_site_fract_y
_atom_site_fract_z
_atom_site_occupancy
Dy1 Dy 0.000 0.000 0.101 1
Dy2 Dy 0.000 0.000 0.301 1
Dy3 Dy 0.000 0.000 0.699 1
Dy4 Dy 0.000 0.000 0.899 1
Tm1 Tm 0.000 0.000 0.500 1
Cd1 Cd 0.500 0.500 0.000 1
Cd2 Cd 0.500 0.500 0.201 1
Cd3 Cd 0.500 0.500 0.403 1
Cd4 Cd 0.500 0.500 0.597 1
Cd5 Cd 0.500 0.500 0.799 1

---

# HfCoReTc (GGA-PBE, optimized geometry)
# - Calculated formation energy: -0.38 eV/f.u.
# - DFT total energy: -10.06 eV per atom
# - Theoretical density: 14.2 Mg/m³
# - Symmetry: F-43m
data_HfCoReTc
_chemical_formula_sum 'Hf1 Co1 Re1 Tc1'
_space_group_name_H-M_alt 'P 1'
_space_group_IT_number 1
_space_group_name_Hall 'P 1'
_cell_length_a 4.413
_cell_length_b 4.413
_cell_length_c 4.413
_cell_angle_alpha 60.00
_cell_angle_beta 60.00
_cell_angle_gamma 60.00
loop_
_atom_site_label
_atom_site_type_symbol
_atom_site_fract_x
_atom_site_fract_y
_atom_site_fract_z
_atom_site_occupancy
Hf1 Hf 0.000 0.000 0.000 1
Co1 Co 0.250 0.250 0.250 1
Re1 Re 0.500 0.500 0.500 1
Tc1 Tc 0.750 0.750 0.750 1

---

# RbZn3Sn3 (GGA-PBE, optimized geometry)
# - ΔE to the lowest computed polymorph: 0 kJ/mol of formula units
# - Calculated formation energy: 0.38 eV/f.u.
# - DFT total energy: -2.34 eV per atom
# - Theoretical density: 4.9 Mg/m³
# - Symmetry: R-3
data_RbZn3Sn3
_chemical_formula_sum 'Rb2 Zn6 Sn6'
_space_group_name_H-M_alt 'P 1'
_space_group_IT_number 1
_space_group_name_Hall 'P 1'
_cell_length_a 9.684
_cell_length_b 9.684
_cell_length_c 9.684
_cell_angle_alpha 46.32
_cell_angle_beta 46.32
_cell_angle_gamma 46.32
loop_
_atom_site_label
_atom_site_type_symbol
_atom_site_fract_x
_atom_site_fract_y
_atom_site_fract_z
_atom_site_occupancy
Rb1 Rb 0.172 0.172 0.172 1
Rb2 Rb 0.828 0.828 0.828 1
Zn1 Zn 0.000 0.272 0.868 1
Zn2 Zn 0.000 0.728 0.132 1
Zn3 Zn 0.132 0.000 0.728 1
Zn4 Zn 0.272 0.868 0.000 1
Zn5 Zn 0.728 0.132 0.000 1
Zn6 Zn 0.868 0.000 0.272 1
Sn1 Sn 0.114 0.576 0.475 1
Sn2 Sn 0.424 0.525 0.886 1
Sn3 Sn 0.475 0.114 0.576 1
Sn4 Sn 0.525 0.886 0.424 1
Sn5 Sn 0.576 0.475 0.114 1
Sn6 Sn 0.886 0.424 0.525 1

---

# Y2CBr (GGA-PBE, optimized geometry)
# - Formation energy without anion corrections: -0.55 eV/atom
# - DFT total energy: -6.50 eV per atom
# - Theoretical density: 4.2 Mg/m³
# - Symmetry: I-42d
data_Y2CBr
_chemical_formula_sum 'Y4 C2 Br2'
_space_group_name_H-M_alt 'P 1'
_space_group_IT_number 1
_space_group_name_Hall 'P 1'
_cell_length_a 6.998
_cell_length_b 6.998
_cell_length_c 6.998
_cell_angle_alpha 126.81
_cell_angle_beta 126.81
_cell_angle_gamma 78.56
loop_
_atom_site_label
_atom_site_type_symbol
_atom_site_fract_x
_atom_site_fract_y
_atom_site_fract_z
_atom_site_occupancy
Y1 Y 0.042 0.625 0.917 1
Y2 Y 0.375 0.292 0.417 1
Y3 Y 0.708 0.125 0.083 1
Y4 Y 0.875 0.958 0.583 1
C1 C 0.000 0.000 0.000 1
C2 C 0.750 0.250 0.500 1
Br1 Br 0.250 0.750 0.500 1
Br2 Br 0.500 0.500 0.000 1

---

# La3Pm4Tm4 (GGA-PBE, optimized geometry)
# - ΔE to the lowest computed polymorph: 158 kJ/mol of formula units
# - Calculated formation energy: 1.90 eV/f.u.
# - DFT total energy: -4.52 eV per atom
# - Theoretical density: 7.3 Mg/m³
# - Symmetry: Amm2
data_La3Pm4Tm4
_chemical_formula_sum 'La3 Pm4 Tm4'
_space_group_name_H-M_alt 'P 1'
_space_group_IT_number 1
_space_group_name_Hall 'P 1'
_cell_length_a 11.547
_cell_length_b 6.395
_cell_length_c 6.395
_cell_angle_alpha 53.44
_cell_angle_beta 90.00
_cell_angle_gamma 90.00
loop_
_atom_site_label
_atom_site_type_symbol
_atom_site_fract_x
_atom_site_fract_y
_atom_site_fract_z
_atom_site_occupancy
La1 La 0.000 0.000 0.000 1
La2 La 0.317 0.135 0.135 1
La3 La 0.683 0.135 0.135 1
Pm1 Pm 0.000 0.687 0.687 1
Pm2 Pm 0.224 0.489 0.489 1
Pm3 Pm 0.500 0.698 0.698 1
Pm4 Pm 0.776 0.489 0.489 1
Tm1 Tm 0.000 0.308 0.308 1
Tm2 Tm 0.253 0.824 0.824 1
Tm3 Tm 0.500 0.388 0.388 1
Tm4 Tm 0.747 0.824 0.824 1

---

# Nb6OsN (GGA-PBE, optimized geometry)
# - Formation energy without anion corrections: -0.36 eV/atom
# - DFT total energy: -10.36 eV per atom
# - Theoretical density: 9.7 Mg/m³
# - Symmetry: P-1
data_Nb6OsN
_chemical_formula_sum 'Nb6 Os1 N1'
_space_group_name_H-M_alt 'P 1'
_space_group_IT_number 1
_space_group_name_Hall 'P 1'
_cell_length_a 4.789
_cell_length_b 5.413
_cell_length_c 5.474
_cell_angle_alpha 96.55
_cell_angle_beta 111.65
_cell_angle_gamma 91.50
loop_
_atom_site_label
_atom_site_type_symbol
_atom_site_fract_x
_atom_site_fract_y
_atom_site_fract_z
_atom_site_occupancy
Nb1 Nb 0.067 0.285 0.151 1
Nb2 Nb 0.205 0.848 0.440 1
Nb3 Nb 0.409 0.401 0.744 1
Nb4 Nb 0.591 0.599 0.256 1
Nb5 Nb 0.795 0.152 0.560 1
Nb6 Nb 0.933 0.715 0.849 1
Os1 Os 0.500 0.000 0.000 1
N1 N 0.000 0.500 0.500 1